Below is crystalline SrAcN at its relaxed geometry, with properties calculated at the GGA-PBE level.

Geometry as POSCAR:
```
SrAcN
1.0
2.8218 -2.8218 0.0000
2.8218 2.8218 0.0000
-0.0002 0.0000 11.2084
Sr Ac N
2 2 2
Cartesian
1.4097 0.0000 1.6018
4.2338 0.0000 9.6065
1.4117 0.0000 6.8665
4.2318 0.0000 4.3419
1.4152 0.0000 4.3435
4.2283 0.0000 6.8649
```

Results
Theoretical density ... 6.1 Mg/m³
Volume ... 29.7 Å³ per atom
ΔE to the lowest computed polymorph ... 0 meV/atom
Uncorrected formation energy ... -62 kJ per mole of atoms